# Pr6DyY2Tm (PBE, relaxed)
data_Pr6DyY2Tm
_symmetry_space_group_name_H-M 'C 1 2/c 1'
_symmetry_Int_Tables_number 15
_cell_length_a 9.410
_cell_length_b 15.431
_cell_length_c 9.619
_cell_angle_alpha 90.00
_cell_angle_beta 96.54
_cell_angle_gamma 90.00
loop_
_symmetry_equiv_pos_as_xyz
'x,y,z'
'-x,-y,-z'
'-x,y,-z+1/2'
'x,-y,z+1/2'
'x+1/2,y+1/2,z'
'-x+1/2,-y+1/2,-z'
'-x+1/2,y+1/2,-z+1/2'
'x+1/2,-y+1/2,z+1/2'
loop_
_atom_site_label
_atom_site_type_symbol
_atom_site_fract_x
_atom_site_fract_y
_atom_site_fract_z
_atom_site_occupancy
Pr1 Pr 0.059 0.175 0.444 1
Pr2 Pr 0.096 0.388 0.616 1
Pr3 Pr 0.216 0.221 0.809 1
Dy1 Dy 0.000 0.030 0.750 1
Y1 Y 0.250 0.047 0.048 1
Tm1 Tm 0.000 0.413 0.250 1
# **ΔH_f (0 K)**: 117 meV/atom
# **DFT total energy**: -49.51 eV per formula unit
# **Density of states at the Fermi level**: 1.49 states/eV per atom

=====

# Na4HgP2 (PBE, relaxed)
data_Na4HgP2
_symmetry_space_group_name_H-M 'C 1 2/m 1'
_symmetry_Int_Tables_number 12
_cell_length_a 8.687
_cell_length_b 5.013
_cell_length_c 9.062
_cell_angle_alpha 90.00
_cell_angle_beta 108.69
_cell_angle_gamma 90.00
loop_
_symmetry_equiv_pos_as_xyz
'x,y,z'
'-x,-y,-z'
'-x,y,-z'
'x,-y,z'
'x+1/2,y+1/2,z'
'-x+1/2,-y+1/2,-z'
'-x+1/2,y+1/2,-z'
'x+1/2,-y+1/2,z'
loop_
_atom_site_label
_atom_site_type_symbol
_atom_site_fract_x
_atom_site_fract_y
_atom_site_fract_z
_atom_site_occupancy
Na1 Na 0.096 0.000 0.289 1
Na2 Na 0.207 0.500 0.121 1
Hg1 Hg 0.000 0.500 0.500 1
P1 P 0.094 0.500 0.782 1
# **ΔH_f (0 K)**: -352 meV/atom
# **DFT total energy**: -18.86 eV per formula unit
# **Density of states at the Fermi level**: 0.00 states/eV per atom

=====

# NaLiGa2F8 (PBE, relaxed)
data_NaLiGa2F8
_symmetry_space_group_name_H-M 'I -4 m 2'
_symmetry_Int_Tables_number 119
_symmetry_space_group_name_Hall 'I -4 -2'
_cell_length_a 7.053
_cell_length_b 7.053
_cell_length_c 6.840
_cell_angle_alpha 90.00
_cell_angle_beta 90.00
_cell_angle_gamma 90.00
loop_
_atom_site_label
_atom_site_type_symbol
_atom_site_fract_x
_atom_site_fract_y
_atom_site_fract_z
_atom_site_occupancy
Na1 Na 0.000 0.000 0.000 1
Li1 Li 0.000 0.500 0.250 1
Ga1 Ga 0.000 0.000 0.500 1
Ga2 Ga 0.000 0.500 0.750 1
F1 F 0.000 0.204 0.341 1
F2 F 0.000 0.303 0.915 1
# **Uncorrected formation energy**: -2.637 eV/atom
# **DFT total energy**: -55.90 eV per formula unit
# **Density of states at the Fermi level**: 0.00 states/eV per atom

=====

# RbIn3N (PBE, relaxed)
data_RbIn3N
_symmetry_space_group_name_H-M 'P m -3 m'
_symmetry_Int_Tables_number 221
_symmetry_space_group_name_Hall '-P 4 2 3'
_cell_length_a 5.162
_cell_length_b 5.162
_cell_length_c 5.162
_cell_angle_alpha 90.00
_cell_angle_beta 90.00
_cell_angle_gamma 90.00
loop_
_atom_site_label
_atom_site_type_symbol
_atom_site_fract_x
_atom_site_fract_y
_atom_site_fract_z
_atom_site_occupancy
Rb1 Rb 0.000 0.000 0.000 1
In1 In 0.000 0.500 0.500 1
N1 N 0.500 0.500 0.500 1
# **Uncorrected formation energy**: 0.596 eV/atom
# **ΔE to the lowest computed polymorph**: 0.00 kJ per mole of atoms
# **DFT total energy**: -14.53 eV per formula unit
# **Density of states at the Fermi level**: 1.00 states/eV per atom